# 1
{"formula": "Be2Nb4B", "functional": "PBE-GGA", "state": "optimized geometry", "lattice_angstrom": [[-2.2283, 2.2283, 5.5219], [2.2283, -2.2283, 5.5219], [2.2283, 2.2283, -5.5219]], "species": ["Be", "Be", "Nb", "Nb", "Nb", "Nb", "B"], "fractional_positions": [[0.0943, 0.0943, 0.0000], [0.9057, 0.9057, 0.0000], [0.0000, 0.5000, 0.5000], [0.3084, 0.3084, 0.0000], [0.5000, 0.0000, 0.5000], [0.6916, 0.6916, 0.0000], [0.5000, 0.5000, 0.0000]], "magmom_total_mub_per_fu": 0.00, "mass_density_g_cm3": 6.1, "sg": "I4/mmm, No. 139", "formation_energy_ev_per_atom": 0.3551}


# 2
{"formula": "MgCu2P", "functional": "PBE-GGA", "state": "optimized geometry", "lattice_angstrom": [[2.9346, 0.0000, 0.0000], [0.0000, 4.0297, 0.0000], [0.0000, 0.0000, 4.9140]], "species": ["Mg", "Cu", "Cu", "P"], "fractional_positions": [[0.0000, 0.0000, 0.0000], [0.5000, 0.5000, 0.2472], [0.5000, 0.5000, 0.7528], [0.5000, 0.0000, 0.5000]], "magmom_total_mub_per_fu": 0.00, "mass_density_g_cm3": 5.2, "sg": "Pmmm, No. 47", "formation_energy_ev_per_atom": -0.1118}


# 3
{"formula": "NdScGeO5", "functional": "PBE-GGA", "state": "optimized geometry", "lattice_angstrom": [[3.4450, -4.6545, 0.0000], [3.4450, 4.6545, 0.0000], [-2.7427, 0.0000, 6.7447]], "species": ["Nd", "Nd", "Sc", "Sc", "Ge", "Ge", "O", "O", "O", "O", "O", "O", "O", "O", "O", "O"], "fractional_positions": [[0.1719, 0.8281, 0.7500], [0.8281, 0.1719, 0.2500], [0.5000, 0.5000, 0.0000], [0.5000, 0.5000, 0.5000], [0.1753, 0.8247, 0.2500], [0.8247, 0.1753, 0.7500], [0.1172, 0.2304, 0.9276], [0.1707, 0.6015, 0.3838], [0.2304, 0.1172, 0.4276], [0.3985, 0.8293, 0.1162], [0.4123, 0.5877, 0.7500], [0.5877, 0.4123, 0.2500], [0.6015, 0.1707, 0.8838], [0.7696, 0.8828, 0.5724], [0.8293, 0.3985, 0.6162], [0.8828, 0.7696, 0.0724]], "magmom_total_mub_per_fu": 0.00, "mass_density_g_cm3": 5.2, "formation_energy_uncorrected_ev_per_atom": -2.83, "sg": "C2/c, No. 15"}


# 4
{"formula": "TiBe2PCl", "functional": "PBE-GGA", "state": "optimized geometry", "lattice_angstrom": [[3.9483, 0.0000, 0.0000], [0.0000, 3.9483, 0.0000], [0.0000, 0.0000, 4.6208]], "species": ["Ti", "Be", "Be", "P", "Cl"], "fractional_positions": [[0.0000, 0.0000, 0.0000], [0.0000, 0.5000, 0.5000], [0.5000, 0.0000, 0.5000], [0.5000, 0.5000, 0.0000], [0.0000, 0.0000, 0.5000]], "magmom_total_mub_per_fu": 0.00, "mass_density_g_cm3": 3.1, "formation_energy_uncorrected_ev_per_atom": 0.74, "sg": "P4/mmm, No. 123"}


# 5
{"formula": "SrAcHg6", "functional": "PBE-GGA", "state": "optimized geometry", "lattice_angstrom": [[5.3653, 0.0000, 0.0000], [0.0000, 7.0860, 0.0000], [0.0000, 0.0000, 5.9300]], "species": ["Sr", "Ac", "Hg", "Hg", "Hg", "Hg", "Hg", "Hg"], "fractional_positions": [[0.0000, 0.0000, 0.0000], [0.5000, 0.5000, 0.7138], [0.0000, 0.2503, 0.5165], [0.0000, 0.5000, 0.0650], [0.0000, 0.7497, 0.5165], [0.5000, 0.0000, 0.6529], [0.5000, 0.2451, 0.1984], [0.5000, 0.7549, 0.1984]], "magmom_total_mub_per_fu": 0.00, "mass_density_g_cm3": 11.2, "sg": "Pmm2, No. 25", "formation_energy_ev_per_atom": -0.4122}


# 6
{"formula": "Fe2Br3", "functional": "PBE-GGA", "state": "optimized geometry", "lattice_angstrom": [[1.8927, 1.0927, 9.9158], [-1.8927, 1.0927, 9.9158], [0.0000, -2.1855, 9.9158]], "species": ["Fe", "Fe", "Br", "Br", "Br"], "fractional_positions": [[0.1060, 0.1060, 0.1060], [0.8940, 0.8940, 0.8940], [0.2705, 0.2705, 0.2705], [0.5000, 0.5000, 0.5000], [0.7295, 0.7295, 0.7295]], "magmom_total_mub_per_fu": 7.00, "mass_density_g_cm3": 4.7, "formation_energy_uncorrected_ev_per_atom": -0.11, "sg": "R-3m, No. 166"}


# 7
{"formula": "Ac14TbTm", "functional": "PBE-GGA", "state": "optimized geometry", "lattice_angstrom": [[7.8615, 0.0000, 0.0000], [0.0000, 7.8615, 0.0000], [0.0000, 0.0000, 11.1786]], "species": ["Ac", "Ac", "Ac", "Ac", "Ac", "Ac", "Ac", "Ac", "Ac", "Ac", "Ac", "Ac", "Ac", "Ac", "Tb", "Tm"], "fractional_positions": [[0.0000, 0.0000, 0.0000], [0.0000, 0.5000, 0.0000], [0.0000, 0.5000, 0.5000], [0.2503, 0.2503, 0.2568], [0.2503, 0.2503, 0.7432], [0.2503, 0.7497, 0.2568], [0.2503, 0.7497, 0.7432], [0.5000, 0.0000, 0.0000], [0.5000, 0.0000, 0.5000], [0.5000, 0.5000, 0.0000], [0.7497, 0.2503, 0.2568], [0.7497, 0.2503, 0.7432], [0.7497, 0.7497, 0.2568], [0.7497, 0.7497, 0.7432], [0.0000, 0.0000, 0.5000], [0.5000, 0.5000, 0.5000]], "magmom_total_mub_per_fu": 0.00, "mass_density_g_cm3": 8.4, "sg": "P4/mmm, No. 123", "formation_energy_ev_per_atom": 0.0315}


# 8
{"formula": "TaZn2Mo", "functional": "PBE-GGA", "state": "optimized geometry", "lattice_angstrom": [[1.9188, -1.9256, 0.0000], [1.9188, 1.9256, 0.0000], [0.0000, 0.0000, 8.4355]], "species": ["Ta", "Zn", "Zn", "Mo"], "fractional_positions": [[0.0000, 0.0000, 0.0000], [0.5000, 0.5000, 0.2550], [0.5000, 0.5000, 0.7450], [0.0000, 0.0000, 0.5000]], "magmom_total_mub_per_fu": 0.00, "mass_density_g_cm3": 10.9, "sg": "Cmmm, No. 65", "formation_energy_ev_per_atom": 0.0893}


# 9
{"formula": "Y2AgPb", "functional": "PBE-GGA", "state": "optimized geometry", "lattice_angstrom": [[5.0893, 0.0000, 0.0000], [0.0000, 5.0893, 0.0000], [0.0000, 0.0000, 4.0585]], "species": ["Y", "Y", "Ag", "Pb"], "fractional_positions": [[0.0000, 0.5000, 0.0000], [0.5000, 0.0000, 0.0000], [0.0000, 0.0000, 0.5000], [0.5000, 0.5000, 0.5000]], "magmom_total_mub_per_fu": 0.53, "mass_density_g_cm3": 7.8, "sg": "P4/mmm, No. 123", "formation_energy_ev_per_atom": -0.4064}


# 10
{"formula": "AgHgPd3", "functional": "PBE-GGA", "state": "optimized geometry", "lattice_angstrom": [[4.9356, 0.0000, 0.0000], [0.0000, 4.9356, 0.0000], [0.0000, 0.0000, 4.9356]], "species": ["Ag", "Hg", "Pd", "Pd", "Pd"], "fractional_positions": [[0.0000, 0.0000, 0.0000], [0.5000, 0.5000, 0.5000], [0.0000, 0.0000, 0.5000], [0.0000, 0.5000, 0.0000], [0.5000, 0.0000, 0.0000]], "magmom_total_mub_per_fu": 0.00, "mass_density_g_cm3": 8.7, "sg": "Pm-3m, No. 221", "formation_energy_ev_per_atom": 0.9021}


# 11
{"formula": "Ce2PuBr", "functional": "PBE-GGA", "state": "optimized geometry", "lattice_angstrom": [[1.8617, 1.0749, 7.7399], [-1.8617, 1.0749, 7.7399], [0.0000, -2.1498, 7.7399]], "species": ["Ce", "Ce", "Pu", "Br"], "fractional_positions": [[0.2314, 0.2314, 0.2314], [0.7686, 0.7686, 0.7686], [0.5000, 0.5000, 0.5000], [0.0000, 0.0000, 0.0000]], "magmom_total_mub_per_fu": 2.08, "mass_density_g_cm3": 10.8, "formation_energy_uncorrected_ev_per_atom": -0.35, "sg": "R-3m, No. 166"}


# 12
{"formula": "Dy3Sn2", "functional": "PBE-GGA", "state": "optimized geometry", "lattice_angstrom": [[11.9943, 0.0000, 0.0000], [0.0000, 4.3930, 0.0000], [0.0000, 0.0000, 11.4753]], "species": ["Dy", "Dy", "Dy", "Dy", "Dy", "Dy", "Dy", "Dy", "Dy", "Dy", "Dy", "Dy", "Sn", "Sn", "Sn", "Sn", "Sn", "Sn", "Sn", "Sn"], "fractional_positions": [[0.0517, 0.2500, 0.1309], [0.1274, 0.7500, 0.5594], [0.2256, 0.2500, 0.7929], [0.2744, 0.7500, 0.2929], [0.3726, 0.2500, 0.0594], [0.4483, 0.7500, 0.6309], [0.5517, 0.2500, 0.3691], [0.6274, 0.7500, 0.9406], [0.7256, 0.2500, 0.7071], [0.7744, 0.7500, 0.2071], [0.8726, 0.2500, 0.4406], [0.9483, 0.7500, 0.8691], [0.0102, 0.7500, 0.3169], [0.1885, 0.7500, 0.9950], [0.3115, 0.2500, 0.4950], [0.4898, 0.2500, 0.8169], [0.5102, 0.7500, 0.1831], [0.6885, 0.7500, 0.5050], [0.8115, 0.2500, 0.0050], [0.9898, 0.2500, 0.6831]], "magmom_total_mub_per_fu": 0.74, "mass_density_g_cm3": 8.0, "sg": "Pnma, No. 62", "formation_energy_ev_per_atom": -0.5948}